Here is a relaxed ErMg2Tl4 crystal from the Alexandria database. Energies are from GGA-PBE.

a = 6.3267 Å, b = 6.3267 Å, c = 6.3267 Å
α = 103.01°, β = 112.80°, γ = 112.80°
Sites, in units of the cell vectors:
Tl (0.5000, 0.5000, 0.5000)
Tl (0.5000, 0.0000, 0.0000)
Tl (0.0000, 0.5000, 0.0000)
Tl (0.0000, 0.0000, 0.5000)
Mg (0.5000, 0.5000, 0.0000)
Mg (0.5000, 0.0000, 0.5000)
Er (0.0000, 0.0000, 0.0000)

Calculated values
* DFT total energy: -2.56 eV per atom
* magnetic moment: 0.00 μB/f.u.
* symmetry: I4/mmm, No. 139

---

Here is a relaxed Sm15Er4Th crystal from the Alexandria database. Energies are from GGA-PBE.

a = 5.1003 Å, b = 5.1003 Å, c = 25.4440 Å
α = 90.00°, β = 90.00°, γ = 90.00°
Sites, in units of the cell vectors:
Sm (0.0000, 0.5000, 0.0994)
Sm (0.5000, 0.5000, 0.2021)
Sm (0.0000, 0.5000, 0.6998)
Sm (0.5000, 0.0000, 0.6998)
Sm (0.5000, 0.0000, 0.3002)
Sm (0.5000, 0.5000, 0.4005)
Sm (0.5000, 0.0000, 0.5000)
Sm (0.0000, 0.5000, 0.5000)
Sm (0.5000, 0.0000, 0.9006)
Sm (0.5000, 0.0000, 0.0994)
Sm (0.5000, 0.5000, 0.5995)
Sm (0.0000, 0.5000, 0.9006)
Sm (0.0000, 0.5000, 0.3002)
Sm (0.5000, 0.5000, 0.7979)
Sm (0.5000, 0.5000, 0.0000)
Er (0.0000, 0.0000, 0.2007)
Er (0.0000, 0.0000, 0.5997)
Er (0.0000, 0.0000, 0.7993)
Er (0.0000, 0.0000, 0.4003)
Th (0.0000, 0.0000, 0.0000)

Calculated values
* DFT total energy: -4.80 eV per atom
* magnetic moment: 0.00 μB/f.u.
* symmetry: P4/mmm, No. 123

---

Here is a relaxed YIrW2 crystal from the Alexandria database. Energies are from GGA-PBE.

a = 5.5609 Å, b = 5.5609 Å, c = 5.5609 Å
α = 144.79°, β = 132.69°, γ = 60.32°
Sites, in units of the cell vectors:
Ir (0.2500, 0.7500, 0.5000)
W (0.0083, 0.0083, 0.0000)
W (0.4917, 0.4917, 0.0000)
Y (0.7500, 0.2500, 0.5000)

Calculated values
* DFT total energy: -10.11 eV per atom
* E above lowest polymorph: 0.1212 eV/atom
* magnetic moment: 0.00 μB/f.u.
* symmetry: Immm, No. 71

---

Here is a relaxed PmY3Er2As6 crystal from the Alexandria database. Energies are from GGA-PBE.

a = 7.1531 Å, b = 7.1531 Å, c = 7.1540 Å
α = 99.59°, β = 99.59°, γ = 119.99°
Sites, in units of the cell vectors:
Y (0.8347, 0.1653, 0.5000)
Y (0.1653, 0.8347, 0.5000)
Y (0.5000, 0.5000, 0.5000)
Pm (0.0000, 0.0000, 0.0000)
As (0.7444, 0.7444, 0.2495)
As (0.2556, 0.2556, 0.7505)
As (0.0836, 0.4222, 0.2506)
As (0.9164, 0.5778, 0.7494)
As (0.5778, 0.9164, 0.7494)
As (0.4222, 0.0836, 0.2506)
Er (0.6671, 0.3329, 0.0000)
Er (0.3329, 0.6671, 0.0000)

Calculated values
* DFT total energy: -6.63 eV per atom
* magnetic moment: 0.00 μB/f.u.
* symmetry: C2/m, No. 12

---

Here is a relaxed Nd8Al2Ni crystal from the Alexandria database. Energies are from GGA-PBE.

a = 5.1250 Å, b = 6.8682 Å, c = 9.7405 Å
α = 102.57°, β = 105.25°, γ = 90.00°
Sites, in units of the cell vectors:
Nd (0.2093, 0.2983, 0.4186)
Nd (0.5932, 0.4591, 0.1864)
Nd (0.4068, 0.5409, 0.8136)
Nd (0.0178, 0.7803, 0.0356)
Nd (0.7907, 0.7017, 0.5814)
Nd (0.9822, 0.2197, 0.9644)
Nd (0.3504, 0.0278, 0.7008)
Nd (0.6496, 0.9722, 0.2992)
Ni (0.5000, 0.0000, 0.0000)
Al (0.1861, 0.7450, 0.3721)
Al (0.8139, 0.2550, 0.6279)

Calculated values
* DFT total energy: -4.83 eV per atom
* magnetic moment: 0.00 μB/f.u.
* symmetry: C2/m, No. 12

---

Here is a relaxed MnCu2Pd5 crystal from the Alexandria database. Energies are from GGA-PBE.

a = 6.5851 Å, b = 6.5851 Å, c = 7.1922 Å
α = 117.25°, β = 117.25°, γ = 90.00°
Each line ends with the local moment (μB).
Sites, in units of the cell vectors:
Pd (0.5000, 0.5000, 0.0000)  0.11
Pd (0.6902, 0.1902, 0.6867)  0.11
Pd (0.4965, 0.6902, 0.6867)  0.11
Pd (0.5035, 0.3098, 0.3133)  0.11
Pd (0.9965, 0.4965, 0.6867)  0.11
Pd (0.8098, 0.0035, 0.3133)  0.11
Pd (0.0000, 0.0000, 0.0000)  0.11
Pd (0.1902, 0.9965, 0.6867)  0.11
Pd (0.0035, 0.5035, 0.3133)  0.11
Pd (0.3098, 0.8098, 0.3133)  0.11
Mn (0.2500, 0.2500, 0.5000)  3.94
Mn (0.7500, 0.7500, 0.5000)  3.94
Cu (0.1393, 0.3607, 0.0000)  0.03
Cu (0.3607, 0.8607, 0.0000)  0.03
Cu (0.8607, 0.6393, 0.0000)  0.03
Cu (0.6393, 0.1393, 0.0000)  0.03

Calculated values
* DFT total energy: -5.48 eV per atom
* E above lowest polymorph: 0.0454 eV/atom
* magnetic moment: 4.74 μB/f.u.
* symmetry: I4/mcm, No. 140

---

Here is a relaxed HfTiAgS4 crystal from the Alexandria database. Energies are from GGA-PBE.

a = 7.3310 Å, b = 7.4514 Å, c = 7.5688 Å
α = 120.52°, β = 90.00°, γ = 119.47°
Each line ends with the local moment (μB).
Sites, in units of the cell vectors:
Ti (0.0000, 0.5000, 0.5000)  0.61
Ti (0.5000, 0.5000, 0.5000)  0.61
Hf (0.5000, 0.0000, 0.0000)  0.07
Hf (0.5000, 0.0000, 0.5000)  0.07
S (0.7470, 0.0244, 0.2622)  -0.01
S (0.7414, 0.4828, 0.2688)  -0.02
S (0.2530, 0.9756, 0.7378)  -0.01
S (0.7414, 0.4828, 0.7141)  -0.02
S (0.2774, 0.0244, 0.2622)  -0.01
S (0.2586, 0.5172, 0.2859)  -0.02
S (0.7226, 0.9756, 0.7378)  -0.01
S (0.2586, 0.5172, 0.7312)  -0.02
Ag (0.1363, 0.2727, 0.8863)  0.00
Ag (0.8637, 0.7273, 0.1137)  0.00

Calculated values
* DFT total energy: -6.49 eV per atom
* magnetic moment: 0.82 μB/f.u.
* symmetry: Imma, No. 74